No. 1
Below is a relaxed structure of LiNd2TmHg4, with properties calculated at the GGA-PBE level.

Volume in Å³/cell: 204.9
Formation energy from the elements in eV/atom: -0.456
Space-group type: R-3m
E in Ry/atom: -0.19087

Cell lengths 9.145, 9.145, 9.145 Å; angles 33.27, 33.27, 33.27 degrees
Positions (direct):
Li: 0.000 0.000 0.000
Nd: 0.254 0.254 0.254
Nd: 0.746 0.746 0.746
Tm: 0.500 0.500 0.500
Hg: 0.126 0.126 0.126
Hg: 0.375 0.375 0.375
Hg: 0.625 0.625 0.625
Hg: 0.874 0.874 0.874

=====

No. 2
Below is a relaxed structure of Tc2Ni, with properties calculated at the GGA-PBE level.

Volume in Å³/cell: 178.4
Formation energy from the elements in eV/atom: 0.477
Space-group type: P6_3/mmc
E in Ry/atom: -0.61453

Cell lengths 5.081, 5.081, 7.980 Å; angles 90.00, 90.00, 120.00 degrees
Positions (direct):
Tc: 0.000 0.000 0.000
Tc: 0.000 0.000 0.500
Tc: 0.176 0.352 0.250
Tc: 0.176 0.824 0.250
Tc: 0.352 0.176 0.750
Tc: 0.648 0.824 0.250
Tc: 0.824 0.176 0.750
Tc: 0.824 0.648 0.750
Ni: 0.333 0.667 0.585
Ni: 0.333 0.667 0.915
Ni: 0.667 0.333 0.085
Ni: 0.667 0.333 0.415

=====

No. 3
Below is a relaxed structure of Nb3CrSe, with properties calculated at the GGA-PBE level.

Volume in Å³/cell: 101.0
Space-group type: Pm-3m
E in Ry/atom: -0.57586

Cell lengths 4.657, 4.657, 4.657 Å; angles 90.00, 90.00, 90.00 degrees
Positions (direct):
Nb: 0.000 0.000 0.500
Nb: 0.000 0.500 0.000
Nb: 0.500 0.000 0.000
Cr: 0.000 0.000 0.000
Se: 0.500 0.500 0.500

=====

No. 4
Below is a relaxed structure of Li4SnSe4, with properties calculated at the GGA-PBE level.

Volume in Å³/cell: 429.3
Space-group type: Cmcm
E in Ry/atom: -0.27959

Cell lengths 7.135, 7.135, 8.457 Å; angles 90.00, 90.00, 85.47 degrees
Positions (direct):
Li: 0.091 0.608 0.750
Li: 0.337 0.337 0.000
Li: 0.337 0.337 0.500
Li: 0.392 0.909 0.750
Li: 0.608 0.091 0.250
Li: 0.663 0.663 0.000
Li: 0.663 0.663 0.500
Li: 0.909 0.392 0.250
Sn: 0.153 0.847 0.250
Sn: 0.847 0.153 0.750
Se: 0.192 0.229 0.750
Se: 0.229 0.192 0.250
Se: 0.300 0.700 0.503
Se: 0.300 0.700 0.997
Se: 0.700 0.300 0.003
Se: 0.700 0.300 0.497
Se: 0.771 0.808 0.750
Se: 0.808 0.771 0.250

=====

No. 5
Below is a relaxed structure of HfTlNF2, with properties calculated at the GGA-PBE level.

Volume in Å³/cell: 84.8
Space-group type: P4/mmm
E in Ry/atom: -0.35633

Cell lengths 4.433, 4.433, 4.314 Å; angles 90.00, 90.00, 90.00 degrees
Positions (direct):
Hf: 0.000 0.000 0.000
Tl: 0.500 0.500 0.500
N: 0.500 0.500 0.000
F: 0.000 0.500 0.500
F: 0.500 0.000 0.500

=====

No. 6
Below is a relaxed structure of KTiPb3, with properties calculated at the GGA-PBE level.

Volume in Å³/cell: 188.3
Formation energy from the elements in eV/atom: 1.449
Space-group type: Pm-3m
E in Ry/atom: -0.18923

Cell lengths 5.731, 5.731, 5.731 Å; angles 90.00, 90.00, 90.00 degrees
Positions (direct):
K: 0.000 0.000 0.000
Ti: 0.500 0.500 0.500
Pb: 0.000 0.000 0.500
Pb: 0.000 0.500 0.000
Pb: 0.500 0.000 0.000

=====

No. 7
Below is a relaxed structure of LiZnSn2, with properties calculated at the GGA-PBE level.

Volume in Å³/cell: 200.7
Formation energy from the elements in eV/atom: 0.011
Space-group type: I-42d
E in Ry/atom: -0.20490

Cell lengths 6.749, 6.749, 6.749 Å; angles 98.40, 98.40, 135.05 degrees
Positions (direct):
Li: 0.000 0.000 0.000
Li: 0.750 0.250 0.500
Zn: 0.250 0.750 0.500
Zn: 0.500 0.500 0.000
Sn: 0.218 0.625 0.093
Sn: 0.375 0.468 0.593
Sn: 0.532 0.125 0.907
Sn: 0.875 0.782 0.407

=====

No. 8
Below is a relaxed structure of CaTcAu2, with properties calculated at the GGA-PBE level.

Volume in Å³/cell: 74.6
Formation energy from the elements in eV/atom: 0.072
Space-group type: Cm
E in Ry/atom: -0.34239

Cell lengths 5.633, 5.633, 5.235 Å; angles 112.48, 112.48, 29.26 degrees
Positions (direct):
Ca: 0.000 0.000 0.000
Tc: 0.751 0.751 0.436
Au: 0.243 0.243 0.903
Au: 0.483 0.483 0.479

=====

No. 9
Below is a relaxed structure of K3CaCl, with properties calculated at the GGA-PBE level.

Volume in Å³/cell: 256.4
Space-group type: Pm-3m
E in Ry/atom: -0.14691

Cell lengths 6.353, 6.353, 6.353 Å; angles 90.00, 90.00, 90.00 degrees
Positions (direct):
K: 0.000 0.000 0.500
K: 0.000 0.500 0.000
K: 0.500 0.000 0.000
Ca: 0.500 0.500 0.500
Cl: 0.000 0.000 0.000

=====

No. 10
Below is a relaxed structure of Nd4SmSc2, with properties calculated at the GGA-PBE level.

Volume in Å³/cell: 466.3
Formation energy from the elements in eV/atom: 0.241
Space-group type: C2/c
E in Ry/atom: -0.36502

Cell lengths 7.851, 7.851, 17.061 Å; angles 90.04, 90.04, 153.67 degrees
Positions (direct):
Nd: 0.168 0.827 0.925
Nd: 0.173 0.832 0.575
Nd: 0.433 0.559 0.585
Nd: 0.441 0.567 0.915
Nd: 0.559 0.433 0.085
Nd: 0.567 0.441 0.415
Nd: 0.827 0.168 0.425
Nd: 0.832 0.173 0.075
Sm: 0.401 0.599 0.250
Sm: 0.599 0.401 0.750
Sc: 0.070 0.930 0.250
Sc: 0.274 0.726 0.750
Sc: 0.726 0.274 0.250
Sc: 0.930 0.070 0.750

=====

Please write out number 8 again, unchanged.
Below is a relaxed structure of CaTcAu2, with properties calculated at the GGA-PBE level.

Volume in Å³/cell: 74.6
Formation energy from the elements in eV/atom: 0.072
Space-group type: Cm
E in Ry/atom: -0.34239

Cell lengths 5.633, 5.633, 5.235 Å; angles 112.48, 112.48, 29.26 degrees
Positions (direct):
Ca: 0.000 0.000 0.000
Tc: 0.751 0.751 0.436
Au: 0.243 0.243 0.903
Au: 0.483 0.483 0.479

=====

Which value of E does entry 1 give?
-0.19087 Ry/atom

=====

Look up the E of the eighth one.
-0.34239 Ry/atom

=====

Which of these has the lowest E?
Tc2Ni